Zn6Br (PBE, optimized geometry); total magnetization = 0.00 μB per formula unit; symmetry = Im-3m; DOS at the Fermi energy = 3.518 states/eV/cell; formation energy without anion corrections = 0.314 eV per atom
1.0
-3.580 3.580 3.580
3.580 -3.580 3.580
3.580 3.580 -3.580
Zn Br
6 1
Cartesian
3.580 1.790 0.000
3.580 0.000 1.790
1.790 3.580 0.000
1.790 0.000 3.580
0.000 3.580 1.790
0.000 1.790 3.580
0.000 0.000 0.000